No. 1
## ScSb2P (GGA-PBEsol)

Data for a geometry-optimized ScSb2P structure.

Geometry as CIF:
```
data_ScSb2P
_chemical_formula_sum 'Sc2 Sb4 P2'
_cell_length_a 11.263
_cell_length_b 3.973
_cell_length_c 4.137
_cell_angle_alpha 90.00
_cell_angle_beta 93.28
_cell_angle_gamma 90.00
_space_group_name_H-M_alt 'C 1 2/m 1'
_space_group_IT_number 12
loop_
_space_group_symop_operation_xyz
'x,y,z'
'-x,-y,-z'
'-x,y,-z'
'x,-y,z'
'x+1/2,y+1/2,z'
'-x+1/2,-y+1/2,-z'
'-x+1/2,y+1/2,-z'
'x+1/2,-y+1/2,z'
loop_
_atom_site_label
_atom_site_type_symbol
_atom_site_fract_x
_atom_site_fract_y
_atom_site_fract_z
Sc1 Sc 0.000 0.000 0.000
Sb1 Sb 0.229 0.500 0.758
P1 P 0.000 0.500 0.500
```

Output
M_tot = 0.00 μB/cell
formation energy without anion corrections = -0.331 eV/atom
electronic total energy = -5.7091 eV per atom
Fermi-level density of states = 1.1 states/eV/f.u.



No. 2
## CrP2CO (GGA-PBEsol)

Data for a geometry-optimized CrP2CO structure.

Geometry as CIF:
```
data_CrP2CO
_chemical_formula_sum 'Cr1 P2 C1 O1'
_cell_length_a 3.811
_cell_length_b 3.811
_cell_length_c 3.788
_cell_angle_alpha 90.00
_cell_angle_beta 90.00
_cell_angle_gamma 90.00
_space_group_name_H-M_alt 'P 4/m m m'
_space_group_IT_number 123
_space_group_name_Hall '-P 4 2'
loop_
_atom_site_label
_atom_site_type_symbol
_atom_site_fract_x
_atom_site_fract_y
_atom_site_fract_z
Cr1 Cr 0.000 0.000 0.000
P1 P 0.000 0.500 0.500
C1 C 0.500 0.500 0.500
O1 O 0.500 0.500 0.000
```

Output
M_tot = 2.35 μB/cell
formation energy without anion corrections = 0.914 eV/atom
electronic total energy = -6.4296 eV per atom
Fermi-level density of states = 3.0 states/eV/f.u.



No. 3
## BaAgP (GGA-PBEsol)

Data for a geometry-optimized BaAgP structure.

Geometry as CIF:
```
data_BaAgP
_chemical_formula_sum 'Ba2 Ag2 P2'
_cell_length_a 4.424
_cell_length_b 4.424
_cell_length_c 8.538
_cell_angle_alpha 90.00
_cell_angle_beta 90.00
_cell_angle_gamma 90.00
_space_group_name_H-M_alt 'I 4 m m'
_space_group_IT_number 107
_space_group_name_Hall 'I 4 -2'
loop_
_atom_site_label
_atom_site_type_symbol
_atom_site_fract_x
_atom_site_fract_y
_atom_site_fract_z
Ba1 Ba 0.000 0.000 0.000
Ag1 Ag 0.000 0.000 0.641
P1 P 0.000 0.000 0.358
```

Output
M_tot = 0.00 μB/cell
electronic total energy = -3.9374 eV per atom
E_form = -0.19 eV per atom
Fermi-level density of states = 0.5 states/eV/f.u.



No. 4
## CsHfFeOs2 (GGA-PBEsol)

Data for a geometry-optimized CsHfFeOs2 structure.

Geometry as CIF:
```
data_CsHfFeOs2
_chemical_formula_sum 'Cs1 Hf1 Fe1 Os2'
_cell_length_a 4.868
_cell_length_b 4.868
_cell_length_c 4.465
_cell_angle_alpha 90.00
_cell_angle_beta 90.00
_cell_angle_gamma 90.00
_space_group_name_H-M_alt 'P 4/m m m'
_space_group_IT_number 123
_space_group_name_Hall '-P 4 2'
loop_
_atom_site_label
_atom_site_type_symbol
_atom_site_fract_x
_atom_site_fract_y
_atom_site_fract_z
Cs1 Cs 0.000 0.000 0.000
Hf1 Hf 0.500 0.500 0.500
Fe1 Fe 0.000 0.000 0.500
Os1 Os 0.000 0.500 0.000
```

Output
M_tot = 2.42 μB/cell
electronic total energy = -5.9477 eV per atom
E_form = 3.02 eV per atom
Fermi-level density of states = 7.2 states/eV/f.u.



No. 5
## BeSb2PdI (GGA-PBEsol)

Data for a geometry-optimized BeSb2PdI structure.

Geometry as CIF:
```
data_BeSb2PdI
_chemical_formula_sum 'Be1 Sb2 Pd1 I1'
_cell_length_a 5.133
_cell_length_b 5.133
_cell_length_c 5.426
_cell_angle_alpha 90.00
_cell_angle_beta 90.00
_cell_angle_gamma 90.00
_space_group_name_H-M_alt 'P 4/m m m'
_space_group_IT_number 123
_space_group_name_Hall '-P 4 2'
loop_
_atom_site_label
_atom_site_type_symbol
_atom_site_fract_x
_atom_site_fract_y
_atom_site_fract_z
Be1 Be 0.000 0.000 0.000
Sb1 Sb 0.000 0.500 0.500
Pd1 Pd 0.500 0.500 0.500
I1 I 0.500 0.500 0.000
```

Output
M_tot = 0.00 μB/cell
formation energy without anion corrections = 0.843 eV/atom
electronic total energy = -3.3251 eV per atom
Fermi-level density of states = 5.0 states/eV/f.u.



No. 6
## Be2Pb (GGA-PBEsol)

Data for a geometry-optimized Be2Pb structure.

Geometry as CIF:
```
data_Be2Pb
_chemical_formula_sum 'Be2 Pb1'
_cell_length_a 3.8345
_cell_length_b 3.8345
_cell_length_c 3.6681
_cell_angle_alpha 90.00
_cell_angle_beta 90.00
_cell_angle_gamma 120.00
_space_group_name_H-M_alt 'P 6/m m m'
_space_group_IT_number 191
_space_group_name_Hall '-P 6 2'
loop_
_atom_site_label
_atom_site_type_symbol
_atom_site_fract_x
_atom_site_fract_y
_atom_site_fract_z
Be1 Be 0.3333 0.6667 0.0000
Pb1 Pb 0.0000 0.0000 0.5000
```

Output
M_tot = 0.00 μB/cell
electronic total energy = -3.3713 eV per atom
E_form = 0.63 eV per atom
energy above the lowest structure with this stoichiometry = 0.0000 eV/atom
Fermi-level density of states = 1.1 states/eV/f.u.



No. 7
## LiTaTl4 (GGA-PBEsol)

Data for a geometry-optimized LiTaTl4 structure.

Geometry as CIF:
```
data_LiTaTl4
_chemical_formula_sum 'Li4 Ta4 Tl16'
_cell_length_a 8.444
_cell_length_b 8.444
_cell_length_c 8.444
_cell_angle_alpha 90.00
_cell_angle_beta 90.00
_cell_angle_gamma 90.00
_space_group_name_H-M_alt 'F -4 3 m'
_space_group_IT_number 216
_space_group_name_Hall 'F -4 2 3'
loop_
_atom_site_label
_atom_site_type_symbol
_atom_site_fract_x
_atom_site_fract_y
_atom_site_fract_z
Li1 Li 0.000 0.000 0.000
Ta1 Ta 0.250 0.250 0.250
Tl1 Tl 0.125 0.125 0.625
```

Output
M_tot = 8.02 μB/cell
electronic total energy = -3.3944 eV per atom
E_form = 0.78 eV per atom
Fermi-level density of states = 3.7 states/eV/f.u.



No. 8
## Ti2BSbSe (GGA-PBEsol)

Data for a geometry-optimized Ti2BSbSe structure.

Geometry as CIF:
```
data_Ti2BSbSe
_chemical_formula_sum 'Ti2 B1 Sb1 Se1'
_cell_length_a 4.615
_cell_length_b 4.615
_cell_length_c 5.307
_cell_angle_alpha 90.00
_cell_angle_beta 90.00
_cell_angle_gamma 90.00
_space_group_name_H-M_alt 'P 4/m m m'
_space_group_IT_number 123
_space_group_name_Hall '-P 4 2'
loop_
_atom_site_label
_atom_site_type_symbol
_atom_site_fract_x
_atom_site_fract_y
_atom_site_fract_z
Ti1 Ti 0.000 0.500 0.000
B1 B 0.000 0.000 0.500
Sb1 Sb 0.500 0.500 0.500
Se1 Se 0.500 0.500 0.000
```

Output
M_tot = 0.00 μB/cell
formation energy without anion corrections = 1.217 eV/atom
electronic total energy = -5.1964 eV per atom
Fermi-level density of states = 5.6 states/eV/f.u.